Li5MgPd3: relaxed, GGA-PBE.

Output
calculated total energy = -116.43 eV for the cell shown
formation enthalpy at 0 K = -0.26 eV/atom
magnetization = 0.0 μB/f.u.

Cell: 9.3217 9.2490 8.3919 Å, 90.00 106.98 90.00°
Last column: nearest neighbours and their distance in Å.
Space group C2/m (No. 12)
Symmetry-distinct sites (fractional):
Li: 0.0000 0.2370 0.0000 (multiplicity 4)  3 Pd 2.43-2.60
Li: 0.0398 0.2370 0.3497 (multiplicity 8)  3 Pd 2.45-2.64
Li: 0.2430 0.5000 0.5860 (multiplicity 4)  4 Pd 2.57-2.70, 1 Li 2.71, 1 Mg 2.84
Li: 0.2458 0.5000 0.9093 (multiplicity 4)  4 Pd 2.61-2.70, 1 Li 2.71, 1 Mg 2.84
Mg: 0.2491 0.0000 0.7502 (multiplicity 4)  4 Pd 2.61-2.65, 2 Li 2.84
Pd: 0.0000 0.0000 0.5000 (multiplicity 2)  6 Li 2.61-2.70, 2 Mg 2.64, 2 Pd 2.81
Pd: 0.0000 0.5000 0.0000 (multiplicity 2)  4 Li 2.43-2.62, 2 Mg 2.65
Pd: 0.0006 0.0000 0.1658 (multiplicity 4)  7 Li 2.60-2.70, 1 Mg 2.62, 2 Pd 2.78-2.81
Pd: 0.0033 0.5000 0.3354 (multiplicity 4)  5 Li 2.45-2.61, 1 Mg 2.61

***

LiMgPd6: relaxed, GGA-PBE.

Output
calculated total energy = -75.03 eV for the cell shown
energy above the lowest structure with this stoichiometry = 0 meV per atom
formation enthalpy at 0 K = -0.36 eV/atom
magnetization = 0.0 μB/f.u.

Cell: 8.8298 3.9250 7.8416 Å, 90.00 116.40 90.00°
Last column: nearest neighbours and their distance in Å.
Space group C2/m (No. 12)
Symmetry-distinct sites (fractional):
Li: 0.0000 0.0000 0.0000 (multiplicity 2)  12 Pd 2.75-2.79
Mg: 0.0000 0.0000 0.5000 (multiplicity 2)  12 Pd 2.79-2.80
Pd: 0.0011 0.5000 0.2470 (multiplicity 4)  2 Li 2.75, 8 Pd 2.76-2.82, 2 Mg 2.79
Pd: 0.2497 0.0000 0.3719 (multiplicity 4)  1 Li 2.77, 8 Pd 2.77-2.82, 3 Mg 2.79-2.80
Pd: 0.2501 0.0000 0.8776 (multiplicity 4)  8 Pd 2.75-2.79, 3 Li 2.77-2.79, 1 Mg 2.80